A relaxed structure of MnTl2Pt. Source: Alexandria, functional PBE-GGA.

Lattice parameters (Å, degrees): 6.154 9.737 3.276 90.00 121.54 90.00
Space group C2/m (No. 12)
Inequivalent atoms, fractional coordinates:
Mn (0.000, 0.000, 0.000) x2
Tl (0.250, 0.250, 0.500) x4
Pt (0.000, 0.500, 0.000) x2

Summary:
Total magnetic moment in μB/f.u.: 4.03
Formation enthalpy at 0 K in meV per atom: 355
E in eV/atom: -4.63
E above lowest polymorph in eV per atom: 0.297